La2HfPt: optimized geometry, PBE-GGA.

Calculated values
Its symmetry is No. 122. Its total magnetization is 0.00 μB/f.u. The calculation puts the energy above the lowest structure with this stoichiometry at 0.000 eV per atom. The calculation puts the total DFT energy (no corrections) at -52.612 eV for the cell shown. The formation energy comes out at -44.1 kJ/mol of formula units.

Cell lengths 8.524, 8.524, 6.764 Å; angles 50.94, 50.94, 90.00 degrees
Sites, in units of the cell vectors:
Hf  0.500  0.500  0.000
Hf  0.250  0.750  0.500
Pt  0.000  0.000  0.000
Pt  0.750  0.250  0.500
La  0.671  0.125  0.250
La  0.079  0.625  0.250
La  0.375  0.329  0.750
La  0.875  0.921  0.750